Entry from the Alexandria database: a relaxed Rb2CrTcO6 crystal (PBE+U).

```
data_Rb2CrTcO6
_symmetry_space_group_name_H-M 'P -3 m 1'
_symmetry_Int_Tables_number 164
_symmetry_space_group_name_Hall '-P 3 2"'
_cell_length_a 6.2401
_cell_length_b 6.2401
_cell_length_c 5.1083
_cell_angle_alpha 90.00
_cell_angle_beta 90.00
_cell_angle_gamma 120.00
loop_
_atom_site_label
_atom_site_fract_x
_atom_site_fract_y
_atom_site_fract_z
Rb1 0.3333 0.6667 0.2458
Cr1 0.0000 0.0000 0.0000
Tc1 0.0000 0.0000 0.5000
O1 0.1380 0.2760 0.7360
```

Properties
Calculated total energy (eV/cell): -64.8